VASP calculation (PBE) on Ac3Ni after structural relaxation.

## Properties
Energy relative to the elements   0.15 eV/atom
Symmetry   No. 194
Final energy   -4.32 eV per atom
Magnetic moment   0.0 μB/cell
Density   8.03 g/cm3

POSCAR file:
```
Ac3Ni
1.0
9.289 0.000 0.000
-4.645 8.045 0.000
0.000 0.000 4.093
Ac Ni
6 2
Cartesian
0.000 3.221 1.023
-1.855 6.434 1.023
1.855 6.434 1.023
2.790 1.611 3.069
6.500 1.611 3.069
4.645 4.824 3.069
4.645 2.682 1.023
0.000 5.363 3.069
```